K3NaCr2O8 | PBE+U | relaxed

Summary:
spin magnetization = 0.00 μB per cell
VASP energy = -5.910 eV/atom
relative energy among the computed polymorphs = 0.03 eV/f.u.

Cell and atoms, written as CIF:
```
data_K3NaCr2O8
_space_group_name_H-M_alt 'P -3 m 1'
_space_group_IT_number 164
_space_group_name_Hall '-P 3 2"'
_cell_length_a 5.9497
_cell_length_b 5.9497
_cell_length_c 7.6336
_cell_angle_alpha 90.00
_cell_angle_beta 90.00
_cell_angle_gamma 120.00
loop_
_atom_site_label
_atom_site_fract_x
_atom_site_fract_y
_atom_site_fract_z
_atom_site_occupancy
K1 0.0000 0.0000 0.0000 1
K2 0.3333 0.6667 0.3325 1
Na1 0.0000 0.0000 0.5000 1
Cr1 0.3333 0.6667 0.7733 1
O1 0.1811 0.3622 0.6967 1
O2 0.3333 0.6667 0.9890 1
```